The following is a DFT calculation (GGA-PBE) of crystalline InNi2W at its relaxed geometry.

The structure in POSCAR format:
```
InNi2W
1.0
4.570 0.017 0.000
-0.014 4.570 0.000
0.000 0.000 2.765
Ni W In
2 1 1
Cartesian
0.000 0.000 0.000 Ni
2.278 2.293 0.000 Ni
2.285 0.008 1.382 W
-0.007 2.285 1.382 In
```

formation energy = 188 meV per atom